# 1
Computed, not measured: ZrAlF3 after structural relaxation at the PBE-GGA level of DFT.

POSCAR file:
```
ZrAlF3
1.0
4.167 0.000 0.000
0.000 4.167 0.000
0.000 0.000 4.167
F Zr Al
3 1 1
direct
0.000 0.000 0.500 F
0.000 0.500 0.000 F
0.500 0.000 0.000 F
0.500 0.500 0.500 Zr
0.000 0.000 0.000 Al
```

The calculation puts the uncorrected formation energy at -1.494 eV/atom. As for the total energy: -5.075 eV per atom. The value obtained for the offset from the most stable computed form is 518 meV per atom. The total magnetization comes out at 2.0 μB per formula unit.

# 2
Computed, not measured: Zr2AlF after structural relaxation at the PBE-GGA level of DFT.

POSCAR file:
```
Zr2AlF
1.0
-3.303 3.994 0.539
-2.026 -1.043 -4.686
-6.961 -2.447 0.657
Zr F Al
4 2 2
direct
0.375 0.473 0.750 Zr
0.875 0.777 0.750 Zr
0.527 0.125 0.250 Zr
0.223 0.625 0.250 Zr
0.250 0.750 0.500 F
0.500 0.500 0.000 F
0.750 0.250 0.500 Al
0.000 0.000 0.000 Al
```

The calculation puts the uncorrected formation energy at -0.385 eV/atom. As for the total energy: -6.062 eV per atom. The value obtained for the offset from the most stable computed form is 195 meV per atom. The total magnetization comes out at 0.0 μB per formula unit.

# 3
Computed, not measured: ZrAl3F after structural relaxation at the PBE-GGA level of DFT.

POSCAR file:
```
ZrAl3F
1.0
5.423 0.000 0.000
0.000 5.423 0.000
0.000 0.000 5.423
Al Zr F
3 1 1
direct
0.000 0.000 0.500 Al
0.000 0.500 0.000 Al
0.500 0.000 0.000 Al
0.000 0.000 0.000 Zr
0.500 0.500 0.500 F
```

The calculation puts the uncorrected formation energy at 0.752 eV/atom. As for the total energy: -3.577 eV per atom. The value obtained for the offset from the most stable computed form is 1404 meV per atom. The total magnetization comes out at 3.5 μB per formula unit.

# 4
Computed, not measured: Zr2AlF after structural relaxation at the PBE-GGA level of DFT.

POSCAR file:
```
Zr2AlF
1.0
2.705 -3.142 -2.220
-1.010 -4.585 0.276
-1.650 -2.276 -3.770
F Al Zr
1 1 2
direct
0.000 0.000 0.000 F
0.500 0.500 0.500 Al
0.250 0.250 0.250 Zr
0.750 0.750 0.750 Zr
```

The calculation puts the uncorrected formation energy at -0.579 eV/atom. As for the total energy: -6.257 eV per atom. The value obtained for the offset from the most stable computed form is 0 meV per atom. The total magnetization comes out at 0.0 μB per formula unit.

# 5
Computed, not measured: Zr2Al2F after structural relaxation at the PBE-GGA level of DFT.

POSCAR file:
```
Zr2Al2F
1.0
-1.248 -3.036 -1.319
1.354 0.818 -3.164
6.623 -4.636 -0.342
Al F Zr
2 1 2
direct
0.250 0.750 0.500 Al
0.750 0.250 0.500 Al
0.000 0.000 0.000 F
0.398 0.398 0.204 Zr
0.602 0.602 0.796 Zr
```

The calculation puts the uncorrected formation energy at -0.282 eV/atom. As for the total energy: -5.572 eV per atom. The value obtained for the offset from the most stable computed form is 597 meV per atom. The total magnetization comes out at 0.0 μB per formula unit.

# 6
Computed, not measured: ZrAlF3 after structural relaxation at the PBE-GGA level of DFT.

POSCAR file:
```
ZrAlF3
1.0
4.396 0.000 0.000
0.000 4.396 0.000
0.000 0.000 4.396
Al F Zr
1 3 1
direct
0.500 0.500 0.500 Al
0.000 0.500 0.000 F
0.000 0.000 0.500 F
0.500 0.000 0.000 F
0.000 0.000 0.000 Zr
```

The calculation puts the uncorrected formation energy at -2.012 eV/atom. As for the total energy: -5.593 eV per atom. The value obtained for the offset from the most stable computed form is 0 meV per atom. The total magnetization comes out at 1.6 μB per formula unit.